(i)
VCo2Ni8 after structural relaxation, computed with GGA-PBE.

Total moment in μB/f.u.: 6.3

Cell and atoms, written as POSCAR:
```
VCo2Ni8
1.0
-3.7242 -1.4818 -1.3249
-4.8162 -0.5581 5.5725
-5.6151 3.4429 3.3431
V Co Ni
1 2 8
direct
0.0000 0.0000 0.0000
0.2924 0.8172 0.8172
0.7076 0.1828 0.1828
0.3028 0.3410 0.8450
0.6972 0.1550 0.6590
0.8876 0.7394 0.7394
0.1124 0.2606 0.2606
0.3028 0.8450 0.3410
0.6972 0.6590 0.1550
0.7953 0.5844 0.5844
0.2047 0.4156 0.4156
```

---

(ii)
VCo2Ni8 after structural relaxation, computed with GGA-PBE.

Total moment in μB/f.u.: 5.6

Cell and atoms, written as POSCAR:
```
VCo2Ni8
1.0
0.1351 -3.4983 -0.2949
3.8259 -0.1940 4.0550
-5.6893 1.2784 3.1566
V Co Ni
1 2 8
direct
0.5000 0.0000 0.0000
0.2258 0.6295 0.4515
0.7742 0.3705 0.5485
0.5921 0.4520 0.1842
0.3166 0.0861 0.6331
0.1353 0.1823 0.2706
0.0469 0.7279 0.0937
0.8647 0.8177 0.7294
0.6834 0.9139 0.3669
0.4079 0.5480 0.8158
0.9531 0.2721 0.9063
```

---

It is (ii) that is most stable; the runner-up trails by 0.193 eV/atom.

---

(i)
V2Co2Ni after structural relaxation, computed with GGA-PBE.

Total moment in μB/f.u.: 0.0

Cell and atoms, written as POSCAR:
```
V2Co2Ni
1.0
-5.6596 -3.1177 -2.2717
2.5109 -6.0393 2.0330
-1.1130 0.3220 2.3310
Ni Co V
2 4 4
direct
0.0000 0.0000 0.0000
0.5000 0.5000 0.0000
0.1384 0.6384 0.5000
0.6384 0.8616 0.5000
0.8616 0.3616 0.5000
0.3616 0.1384 0.5000
0.3430 0.8430 0.0000
0.8430 0.6570 0.0000
0.6570 0.1570 0.0000
0.1570 0.3430 0.0000
```

---

(ii)
V2Co2Ni after structural relaxation, computed with GGA-PBE.

Total moment in μB/f.u.: 0.0

Cell and atoms, written as POSCAR:
```
V2Co2Ni
1.0
-2.2366 2.1866 -5.7779
-6.1039 -1.7303 1.7079
-0.4001 2.4972 1.0999
Ni Co V
2 4 4
direct
0.0000 0.0000 0.0000
0.5000 0.5000 0.0000
0.3669 0.8669 0.0000
0.8669 0.6331 0.0000
0.6331 0.1331 0.0000
0.1331 0.3669 0.0000
0.1709 0.6709 0.5000
0.6709 0.8291 0.5000
0.8291 0.3291 0.5000
0.3291 0.1709 0.5000
```

---

(iii)
V2Co2Ni after structural relaxation, computed with GGA-PBE.

Total moment in μB/f.u.: 0.0

Cell and atoms, written as POSCAR:
```
V2Co2Ni
1.0
-2.8653 -1.0582 -3.9636
3.9892 -1.3709 -2.5179
2.0677 -3.6813 5.2808
V Co Ni
4 4 2
direct
0.4994 0.2503 0.6073
0.5006 0.7503 0.8927
0.5006 0.7497 0.3927
0.4994 0.2497 0.1073
0.9991 0.0855 0.6598
0.0009 0.5855 0.8402
0.0009 0.9145 0.3402
0.9991 0.4146 0.1598
0.0000 0.0000 0.0000
0.0000 0.5000 0.5000
```

---

It is (ii) that is most stable; the runner-up trails by 0.185 eV/atom.

---

(i)
VCoNi2 after structural relaxation, computed with GGA-PBE.

Total moment in μB/f.u.: 0.0

Cell and atoms, written as POSCAR:
```
VCoNi2
1.0
3.9921 0.0000 0.0000
1.9961 3.4572 0.0000
1.9960 1.1524 3.2593
V Co Ni
1 1 2
direct
0.7500 0.7500 0.7501
0.5001 0.5001 0.4997
0.9999 0.9999 0.0002
0.2500 0.2500 0.2500
```

---

(ii)
VCoNi2 after structural relaxation, computed with GGA-PBE.

Total moment in μB/f.u.: 0.5

Cell and atoms, written as POSCAR:
```
VCoNi2
1.0
-2.5050 -2.5316 -0.1439
2.1103 -2.1887 1.8574
-1.1925 3.5643 2.1422
V Co Ni
1 1 2
direct
0.7499 0.2499 0.4999
0.5001 0.5000 0.0002
0.9999 0.0000 0.9999
0.2500 0.7500 0.5000
```

---

It is (ii) that is most stable; the runner-up trails by 0.103 eV/atom.

---

(i)
VCo2Ni4 after structural relaxation, computed with GGA-PBE.

Total moment in μB/f.u.: 3.0

Cell and atoms, written as POSCAR:
```
VCo2Ni4
1.0
4.2413 0.0000 0.0000
0.0000 4.2413 0.0000
2.1207 2.1207 5.6983
Ni Co V
4 2 1
direct
0.1924 0.1924 0.6152
0.8076 0.8076 0.3848
0.0000 0.5000 0.0000
0.5000 0.0000 0.0000
0.3953 0.3953 0.2095
0.6047 0.6047 0.7905
0.0000 0.0000 0.0000
```

---

(ii)
VCo2Ni4 after structural relaxation, computed with GGA-PBE.

Total moment in μB/f.u.: 2.4

Cell and atoms, written as POSCAR:
```
VCo2Ni4
1.0
3.9739 0.0000 0.0000
1.9870 3.4415 0.0000
1.9870 1.1472 5.7008
V Co Ni
1 2 4
direct
0.0000 0.0000 0.0000
0.7112 0.7112 0.8665
0.2888 0.2888 0.1335
0.8565 0.8565 0.4304
0.1435 0.1435 0.5696
0.5689 0.5689 0.2932
0.4311 0.4311 0.7068
```

---

It is (ii) that is most stable; the runner-up trails by 0.988 eV/atom.

---

(i)
V2Co3Ni2 after structural relaxation, computed with GGA-PBE.

Total moment in μB/f.u.: 1.5

Cell and atoms, written as POSCAR:
```
V2Co3Ni2
1.0
3.5636 0.0000 0.0000
-1.7818 4.0612 -0.1645
0.0000 -0.4076 5.5228
V Co Ni
2 3 2
direct
0.1399 0.2799 0.4025
0.8601 0.7201 0.5975
0.2857 0.5714 0.8489
0.0000 0.0000 0.0000
0.7143 0.4286 0.1511
0.5704 0.1408 0.7165
0.4296 0.8592 0.2835
```

---

(ii)
V2Co3Ni2 after structural relaxation, computed with GGA-PBE.

Total moment in μB/f.u.: 4.2

Cell and atoms, written as POSCAR:
```
V2Co3Ni2
1.0
-2.1786 0.5414 1.0205
-1.8758 2.4750 -5.3180
2.1056 -8.9136 6.2452
V Co Ni
2 3 2
direct
0.6302 0.1178 0.2604
0.3698 0.8822 0.7396
0.0000 0.0000 0.0000
0.7790 0.2617 0.5580
0.2210 0.7383 0.4420
0.9173 0.3794 0.8346
0.0827 0.6206 0.1654
```

---

It is (i) that is most stable; the runner-up trails by 0.071 eV/atom.

---

(i)
VCo3Ni3 after structural relaxation, computed with GGA-PBE.

Total moment in μB/f.u.: 4.3

Cell and atoms, written as POSCAR:
```
VCo3Ni3
1.0
6.8841 0.0000 0.0000
0.0000 6.8841 0.0000
0.0000 0.0000 6.8841
V Co Ni
4 12 12
direct
0.1026 0.6026 0.8974
0.8974 0.1026 0.6026
0.3974 0.3974 0.3974
0.6026 0.8974 0.1026
0.8037 0.6095 0.0717
0.8905 0.9283 0.3037
0.0717 0.8037 0.6095
0.1095 0.4283 0.1963
0.1963 0.1095 0.4283
0.3037 0.8905 0.9283
0.9283 0.3037 0.8905
0.3905 0.5717 0.6963
0.4283 0.1963 0.1095
0.6095 0.0717 0.8037
0.6963 0.3905 0.5717
0.5717 0.6963 0.3905
0.7802 0.2802 0.2198
0.9183 0.9183 0.9183
0.8942 0.6058 0.3942
0.2198 0.7802 0.2802
0.1058 0.1058 0.1058
0.3942 0.8942 0.6058
0.0817 0.4183 0.5817
0.2802 0.2198 0.7802
0.6058 0.3942 0.8942
0.7198 0.7198 0.7198
0.5817 0.0817 0.4183
0.4183 0.5817 0.0817
```

---

(ii)
VCo3Ni3 after structural relaxation, computed with GGA-PBE.

Total moment in μB/f.u.: 4.9

Cell and atoms, written as POSCAR:
```
VCo3Ni3
1.0
4.0415 0.0000 0.0000
0.0000 6.6595 0.0000
0.0000 -3.3298 5.7673
V Co Ni
2 6 6
direct
0.2500 0.6667 0.3333
0.7500 0.3333 0.6667
0.7500 0.7660 0.9554
0.7500 0.1894 0.2340
0.2500 0.9554 0.1894
0.7500 0.0446 0.8106
0.2500 0.8106 0.7660
0.2500 0.2340 0.0446
0.7500 0.9087 0.3796
0.7500 0.4709 0.0913
0.2500 0.3796 0.4709
0.7500 0.6204 0.5291
0.2500 0.5291 0.9087
0.2500 0.0913 0.6204
```

---

It is (ii) that is most stable; the runner-up trails by 0.256 eV/atom.

---

(i)
CoNiW after structural relaxation, computed with GGA-PBE.

Total moment in μB/f.u.: 0.0

Cell and atoms, written as POSCAR:
```
CoNiW
1.0
4.4853 0.0030 -0.0026
2.2523 3.8787 0.0026
-3.0386 -2.5141 2.1364
Ni Co W
1 1 1
direct
0.3366 0.3366 0.0000
0.9979 0.9979 0.0000
0.6655 0.6655 0.0000
```

---

(ii)
CoNiW after structural relaxation, computed with GGA-PBE.

Total moment in μB/f.u.: 0.0

Cell and atoms, written as POSCAR:
```
CoNiW
1.0
-3.0021 0.0418 -2.7989
2.4203 -3.2951 0.3646
-1.6288 -1.0047 1.7320
Co Ni W
1 1 1
direct
0.0000 0.0000 0.9784
0.6667 0.3333 0.3258
0.3333 0.6667 0.6958
```

---

It is (i) that is most stable; the runner-up trails by 0.136 eV/atom.

---

(i)
CoNiW after structural relaxation, computed with GGA-PBE.

Total moment in μB/f.u.: 1.0

Cell and atoms, written as POSCAR:
```
CoNiW
1.0
5.6494 0.0195 -0.0207
5.0145 2.6020 -0.0224
0.6349 0.1575 2.5777
Co Ni W
1 1 1
direct
0.9955 0.9955 0.0045
0.3400 0.3400 0.6600
0.6644 0.6644 0.3356
```

---

(ii)
CoNiW after structural relaxation, computed with GGA-PBE.

Total moment in μB/f.u.: 0.0

Cell and atoms, written as POSCAR:
```
CoNiW
1.0
-1.3291 2.5095 3.6356
-2.4733 -0.2572 -0.7266
-1.7214 -5.5624 3.2102
W Ni Co
2 2 2
direct
0.7500 0.6632 0.6735
0.2500 0.3368 0.3265
0.5000 0.0000 0.0000
0.0000 0.0000 0.0000
0.7500 0.8407 0.3186
0.2500 0.1593 0.6814
```

---

(iii)
CoNiW after structural relaxation, computed with GGA-PBE.

Total moment in μB/f.u.: 0.0

Cell and atoms, written as POSCAR:
```
CoNiW
1.0
3.4591 0.0000 -0.7856
0.0000 3.6112 0.0000
-0.4351 0.0000 6.0685
Co Ni W
2 2 2
direct
0.4239 0.2500 0.8481
0.5761 0.7500 0.1519
0.7509 0.2500 0.5016
0.2491 0.7500 0.4984
0.0929 0.2500 0.1852
0.9071 0.7500 0.8148
```

---

(iv)
CoNiW after structural relaxation, computed with GGA-PBE.

Total moment in μB/f.u.: 0.0

Cell and atoms, written as POSCAR:
```
CoNiW
1.0
-2.4842 1.4273 -2.6760
-1.9134 -2.4413 -2.3975
-3.8599 -0.5389 0.4241
Co Ni W
1 1 1
direct
0.7500 0.7500 0.7500
0.0000 0.0000 0.0000
0.5000 0.5000 0.5000
```

---

It is (iii) that is most stable; the runner-up trails by 0.061 eV/atom.